Record 1
VASP calculation (PBE) on crystalline ErOsS2 at its relaxed geometry.

Summary:
- Formation energy without anion corrections: -0.25 eV/atom
- Density of states at the Fermi level: 3.39 states/eV/cell
- Total magnetic moment: 0.0 μB/f.u.
- Final energy: -25.05 eV for the cell shown

Lattice parameters (Å, degrees): 3.7094 3.7094 7.7638 76.18 76.18 60.00
Positions (direct):
1 Os 0.5000 0.5000 0.5000
2 S 0.1183 0.1183 0.6450
3 Er 0.0000 0.0000 0.0000
4 S 0.8817 0.8817 0.3550


Record 2
VASP calculation (PBE) on crystalline ErSb12Os4 at its relaxed geometry.

Summary:
- Formation energy without anion corrections: -0.10 eV/atom
- Density of states at the Fermi level: 14.84 states/eV/cell
- Total magnetic moment: 0.0 μB/f.u.
- Final energy: -100.72 eV for the cell shown

Lattice parameters (Å, degrees): 8.1479 8.1479 8.1479 109.47 109.47 109.47
Positions (direct):
1 Os 0.5000 0.0000 0.0000
2 Sb 0.3372 0.4930 0.1558
3 Sb 0.1558 0.6628 0.8187
4 Sb 0.1813 0.8442 0.3372
5 Sb 0.4930 0.1558 0.3372
6 Sb 0.1558 0.3372 0.4930
7 Os 0.5000 0.5000 0.5000
8 Sb 0.6628 0.5070 0.8442
9 Sb 0.3372 0.1813 0.8442
10 Sb 0.6628 0.8187 0.1558
11 Sb 0.8187 0.1558 0.6628
12 Os 0.0000 0.0000 0.5000
13 Sb 0.8442 0.3372 0.1813
14 Er 0.0000 0.0000 0.0000
15 Sb 0.5070 0.8442 0.6628
16 Sb 0.8442 0.6628 0.5070
17 Os 0.0000 0.5000 0.0000


Record 3
VASP calculation (PBE) on crystalline Er4SbOs at its relaxed geometry.

Summary:
- Formation energy without anion corrections: -0.53 eV/atom
- Density of states at the Fermi level: 7.62 states/eV/cell
- Energy above the lowest structure with this stoichiometry: 0.000 eV per atom
- Total magnetic moment: 0.0 μB/f.u.
- Final energy: -73.54 eV for the cell shown

Lattice parameters (Å, degrees): 6.0327 6.5090 9.9719 90.00 125.08 90.00
Positions (direct):
1 Sb 0.3507 0.2500 0.0452
2 Er 0.8972 0.4991 0.2865
3 Er 0.4793 0.7500 0.5908
4 Sb 0.6493 0.7500 0.9548
5 Os 0.2574 0.2500 0.5596
6 Er 0.8972 0.0009 0.2865
7 Os 0.7426 0.7500 0.4404
8 Er 0.1028 0.9991 0.7135
9 Er 0.2801 0.7500 0.1256
10 Er 0.5207 0.2500 0.4092
11 Er 0.1028 0.5009 0.7135
12 Er 0.7199 0.2500 0.8744


Record 4
VASP calculation (PBE) on crystalline ErSbOs at its relaxed geometry.

Summary:
- Formation energy without anion corrections: -0.21 eV/atom
- Density of states at the Fermi level: 6.36 states/eV/cell
- Total magnetic moment: 0.0 μB/f.u.
- Final energy: -41.07 eV for the cell shown

Lattice parameters (Å, degrees): 4.2277 4.2277 10.1534 77.98 77.98 60.00
Positions (direct):
1 Er 0.4360 0.4360 0.6920
2 Sb 0.3031 0.3031 0.0908
3 Os 0.8345 0.8345 0.4964
4 Os 0.1655 0.1655 0.5036
5 Er 0.5640 0.5640 0.3080
6 Sb 0.6969 0.6969 0.9092